(1)
Entry from Alexandria: crystalline K2TlCu at its relaxed geometry (PBE).

Values from the calculation:
Its electronic total energy is -1.84 eV/atom. As for the energy above the most stable polymorph in this dataset: 0.225 eV per atom. As for the energy relative to the elements: 0.3268 eV/atom.

Unit cell a=5.8938 b=5.8938 c=5.8938 alpha=60.00 beta=60.00 gamma=60.00
Element x y z (fractional)
K: 0.2500 0.2500 0.2500
Tl: 0.5000 0.5000 0.5000
K: 0.7500 0.7500 0.7500
Cu: 0.0000 0.0000 0.0000


(2)
Entry from Alexandria: crystalline K2TlCu at its relaxed geometry (PBE).

Values from the calculation:
Its electronic total energy is -1.89 eV/atom. As for the energy above the most stable polymorph in this dataset: 0.178 eV per atom. As for the energy relative to the elements: 0.2792 eV/atom.

Unit cell a=5.7885 b=5.7885 c=4.3410 alpha=90.00 beta=90.00 gamma=100.24
Element x y z (fractional)
Tl: 0.5000 0.0000 0.5000
K: 0.5000 0.5000 0.0000
Cu: 0.0000 0.5000 0.5000
K: 0.0000 0.0000 0.0000


(3)
Entry from Alexandria: crystalline K2TlCu at its relaxed geometry (PBE).

Values from the calculation:
Its electronic total energy is -1.99 eV/atom. As for the energy above the most stable polymorph in this dataset: 0.077 eV per atom. As for the energy relative to the elements: 0.1780 eV/atom.

Unit cell a=12.1663 b=12.1663 c=8.9741 alpha=47.32 beta=47.32 gamma=90.00
Element x y z (fractional)
Cu: 0.2500 0.7500 0.5000
Tl: 0.7500 0.2500 0.5000
K: 0.4610 0.1250 0.2500
K: 0.2890 0.6250 0.2500
K: 0.8750 0.7110 0.7500
Cu: 0.5000 0.5000 0.0000
Tl: 0.0000 0.0000 0.0000
K: 0.3750 0.5390 0.7500


(4)
Entry from Alexandria: crystalline KTlCu3 at its relaxed geometry (PBE).

Values from the calculation:
Its electronic total energy is -2.62 eV/atom. As for the energy above the most stable polymorph in this dataset: 0.000 eV per atom. As for the energy relative to the elements: 0.5335 eV/atom.

Unit cell a=5.0962 b=5.0962 c=5.0962 alpha=90.00 beta=90.00 gamma=90.00
Element x y z (fractional)
Cu: 0.0000 0.0000 0.5000
Tl: 0.0000 0.0000 0.0000
Cu: 0.0000 0.5000 0.0000
K: 0.5000 0.5000 0.5000
Cu: 0.5000 0.0000 0.0000


(5)
Entry from Alexandria: crystalline K2TlCu at its relaxed geometry (PBE).

Values from the calculation:
Its electronic total energy is -2.05 eV/atom. As for the energy above the most stable polymorph in this dataset: 0.013 eV per atom. As for the energy relative to the elements: 0.1146 eV/atom.

Unit cell a=4.5211 b=5.4852 c=6.7919 alpha=66.25 beta=90.00 gamma=90.00
Element x y z (fractional)
Cu: 0.5000 0.5659 0.7412
K: 0.0000 0.9798 0.9158
K: 0.5000 0.2760 0.3232
Tl: 0.0000 0.6783 0.5198


(6)
Entry from Alexandria: crystalline K4TlCu at its relaxed geometry (PBE).

Values from the calculation:
Its electronic total energy is -1.32 eV/atom. As for the energy relative to the elements: 0.4928 eV/atom.

Unit cell a=7.4435 b=7.4435 c=7.4435 alpha=60.00 beta=60.00 gamma=60.00
Element x y z (fractional)
K: 0.8765 0.3745 0.3745
K: 0.3745 0.3745 0.3745
Tl: 0.7500 0.7500 0.7500
Cu: 0.0000 0.0000 0.0000
K: 0.3745 0.3745 0.8765
K: 0.3745 0.8765 0.3745


(7)
Entry from Alexandria: crystalline KTlCu at its relaxed geometry (PBE).

Values from the calculation:
Its electronic total energy is -2.34 eV/atom. As for the energy above the most stable polymorph in this dataset: 0.102 eV per atom. As for the energy relative to the elements: 0.1790 eV/atom.

Unit cell a=4.6786 b=4.6786 c=5.0729 alpha=90.00 beta=90.00 gamma=120.00
Element x y z (fractional)
K: 0.6667 0.3333 0.3344
Cu: 0.0000 0.0000 0.8312
Tl: 0.3333 0.6667 0.8344


(8)
Entry from Alexandria: crystalline KTlCu4 at its relaxed geometry (PBE).

Values from the calculation:
Its electronic total energy is -3.03 eV/atom. As for the energy relative to the elements: 0.2732 eV/atom.

Unit cell a=5.3026 b=5.3026 c=5.3026 alpha=60.00 beta=60.00 gamma=60.00
Element x y z (fractional)
Cu: 0.3739 0.3739 0.3739
Cu: 0.8783 0.3739 0.3739
Cu: 0.3739 0.3739 0.8783
Tl: 0.0000 0.0000 0.0000
K: 0.7500 0.7500 0.7500
Cu: 0.3739 0.8783 0.3739


(9)
Entry from Alexandria: crystalline K2TlCu2 at its relaxed geometry (PBE).

Values from the calculation:
Its electronic total energy is -2.30 eV/atom. As for the energy above the most stable polymorph in this dataset: 0.000 eV per atom. As for the energy relative to the elements: 0.2477 eV/atom.

Unit cell a=7.2200 b=7.2200 c=5.4304 alpha=90.00 beta=90.00 gamma=90.00
Element x y z (fractional)
Cu: 0.3797 0.8797 0.0000
Tl: 0.0000 0.0000 0.0000
Cu: 0.8797 0.6203 0.0000
Cu: 0.6203 0.1203 0.0000
K: 0.8213 0.3213 0.5000
K: 0.3213 0.1787 0.5000
Cu: 0.1203 0.3797 0.0000
K: 0.1787 0.6787 0.5000
Tl: 0.5000 0.5000 0.0000
K: 0.6787 0.8213 0.5000


(10)
Entry from Alexandria: crystalline KTl2Cu at its relaxed geometry (PBE).

Values from the calculation:
Its electronic total energy is -2.38 eV/atom. As for the energy relative to the elements: 0.1065 eV/atom.

Unit cell a=6.4813 b=6.4813 c=6.4813 alpha=148.10 beta=124.28 gamma=65.65
Element x y z (fractional)
Tl: 0.9464 0.9464 0.0000
K: 0.2500 0.7500 0.5000
Tl: 0.5536 0.5536 0.0000
Cu: 0.7500 0.2500 0.5000


(11)
Entry from Alexandria: crystalline KTlCu2 at its relaxed geometry (PBE).

Values from the calculation:
Its electronic total energy is -2.55 eV/atom. As for the energy above the most stable polymorph in this dataset: 0.217 eV per atom. As for the energy relative to the elements: 0.3640 eV/atom.

Unit cell a=4.6132 b=3.5356 c=6.7514 alpha=81.29 beta=90.00 gamma=90.00
Element x y z (fractional)
Cu: 0.0000 0.9753 0.8847
Cu: 0.0000 0.5247 0.6153
Tl: 0.5000 0.7500 0.7500
K: 0.5000 0.2500 0.2500


(12)
Entry from Alexandria: crystalline KTlCu at its relaxed geometry (PBE).

Values from the calculation:
Its electronic total energy is -2.19 eV/atom. As for the energy above the most stable polymorph in this dataset: 0.251 eV per atom. As for the energy relative to the elements: 0.3279 eV/atom.

Unit cell a=5.1280 b=5.1280 c=5.1280 alpha=60.00 beta=60.00 gamma=60.00
Element x y z (fractional)
Cu: 0.7500 0.7500 0.7500
K: 0.0000 0.0000 0.0000
Tl: 0.5000 0.5000 0.5000


(13)
Entry from Alexandria: crystalline KTl4Cu at its relaxed geometry (PBE).

Values from the calculation:
Its electronic total energy is -2.17 eV/atom. As for the energy relative to the elements: 0.2753 eV/atom.

Unit cell a=6.4963 b=6.4963 c=6.4963 alpha=60.00 beta=60.00 gamma=60.00
Element x y z (fractional)
Cu: 0.7500 0.7500 0.7500
Tl: 0.8725 0.3758 0.3758
Tl: 0.3758 0.3758 0.3758
Tl: 0.3758 0.8725 0.3758
Tl: 0.3758 0.3758 0.8725
K: 0.0000 0.0000 0.0000